1.
The following is a DFT calculation (GGA-PBEsol) of crystalline BeInHg4 at its relaxed geometry.

Lattice parameters (Å, degrees): 5.8489 5.8489 5.8489 60.00 60.00 60.00
With the nearest neighbours (Å) after each atom.
Fractional positions:
In 0.7500 0.7500 0.7500  12 Hg 3.43, 4 Be 3.58
Hg 0.3747 0.3747 0.3747  6 Hg 2.92-2.93
Hg 0.3747 0.3747 0.8760  6 Hg 2.92-2.93
Hg 0.3747 0.8760 0.3747  6 Hg 2.92-2.93
Hg 0.8760 0.3747 0.3747  6 Hg 2.92-2.93
Be 0.0000 0.0000 0.0000  12 Hg 3.43, 4 In 3.58

Values from the calculation:
For the calculated volume, the calculation gives 23.58 Å³/atom. The energy relative to the elements is 284 kJ/mol of formula units. As for the space-group type: F-43m (216).

***

2.
The following is a DFT calculation (GGA-PBEsol) of crystalline BeInHg2 at its relaxed geometry.

Lattice parameters (Å, degrees): 4.2567 4.2567 5.2838 113.75 113.75 90.00
With the nearest neighbours (Å) after each atom.
Fractional positions:
In 0.5000 0.5000 0.0000  8 Hg 3.01-3.04, 4 Be 3.04
Be 0.2500 0.7500 0.5000  8 Hg 3.01-3.04, 4 In 3.04
Hg 0.7500 0.2500 0.5000  4 Be 3.01, 4 Hg 3.04, 4 In 3.04
Hg 0.0000 0.0000 0.0000  4 In 3.01, 4 Hg 3.04, 4 Be 3.04

Values from the calculation:
For the calculated volume, the calculation gives 19.67 Å³/atom. The energy relative to the elements is 147 kJ/mol of formula units. As for the space-group type: I-4m2 (119).

***

3.
The following is a DFT calculation (GGA-PBEsol) of crystalline BeIn4Hg at its relaxed geometry.

Lattice parameters (Å, degrees): 5.9811 5.9811 5.9811 60.00 60.00 60.00
With the nearest neighbours (Å) after each atom.
Fractional positions:
Hg 0.0000 0.0000 0.0000  12 In 3.51, 4 Be 3.66
In 0.3752 0.3752 0.8744  6 In 2.99-3.00
In 0.3752 0.8744 0.3752  6 In 2.99-3.00
In 0.3752 0.3752 0.3752  6 In 2.99-3.00
In 0.8744 0.3752 0.3752  6 In 2.99-3.00
Be 0.7500 0.7500 0.7500  12 In 3.51, 4 Hg 3.66

Values from the calculation:
For the calculated volume, the calculation gives 25.22 Å³/atom. The energy relative to the elements is 313 kJ/mol of formula units. As for the space-group type: F-43m (216).

***

4.
The following is a DFT calculation (GGA-PBEsol) of crystalline BeHg4Ir at its relaxed geometry.

Lattice parameters (Å, degrees): 5.4862 5.4862 5.4862 60.00 60.00 60.00
With the nearest neighbours (Å) after each atom.
Fractional positions:
Be 0.0000 0.0000 0.0000  12 Hg 3.22, 4 Ir 3.36
Hg 0.3751 0.8746 0.3751  6 Hg 2.74-2.75
Hg 0.8746 0.3751 0.3751  6 Hg 2.74-2.75
Hg 0.3751 0.3751 0.8746  6 Hg 2.74-2.75
Hg 0.3751 0.3751 0.3751  6 Hg 2.74-2.75
Ir 0.7500 0.7500 0.7500  12 Hg 3.22, 4 Be 3.36

Values from the calculation:
For the calculated volume, the calculation gives 19.46 Å³/atom. The energy relative to the elements is 540 kJ/mol of formula units. As for the space-group type: F-43m (216).

***

5.
The following is a DFT calculation (GGA-PBEsol) of crystalline BeTc2HgIr at its relaxed geometry.

Lattice parameters (Å, degrees): 4.0027 4.8567 4.8567 90.00 90.00 90.00
With the nearest neighbours (Å) after each atom.
Fractional positions:
Tc 0.0000 0.5000 0.0000  2 Hg 2.43
Tc 0.0000 0.0000 0.5000  2 Hg 2.43
Be 0.5000 0.0000 0.0000  2 Hg 2.00
Hg 0.0000 0.0000 0.0000  2 Be 2.00
Ir 0.5000 0.5000 0.5000  8 Tc 3.15, 4 Be 3.43

Values from the calculation:
For the calculated volume, the calculation gives 18.88 Å³/atom. The energy relative to the elements is 1161 kJ/mol of formula units. As for the space-group type: P4/mmm (123).

***

6.
The following is a DFT calculation (GGA-PBEsol) of crystalline KBe4Hg at its relaxed geometry.

Lattice parameters (Å, degrees): 4.9239 4.9239 4.9239 60.00 60.00 60.00
With the nearest neighbours (Å) after each atom.
Fractional positions:
Be 0.3807 0.3807 0.8578  6 Be 2.35-2.57
Be 0.8578 0.3807 0.3807  6 Be 2.35-2.57
Be 0.3807 0.8578 0.3807  6 Be 2.35-2.57
Be 0.3807 0.3807 0.3807  6 Be 2.35-2.57
K 0.0000 0.0000 0.0000  12 Be 2.90, 4 Hg 3.02
Hg 0.7500 0.7500 0.7500  12 Be 2.88, 4 K 3.02

Values from the calculation:
For the calculated volume, the calculation gives 14.07 Å³/atom. The energy relative to the elements is 376 kJ/mol of formula units. As for the space-group type: F-43m (216).

***

7.
The following is a DFT calculation (GGA-PBEsol) of crystalline KMg2BeHg at its relaxed geometry.

Lattice parameters (Å, degrees): 5.7571 6.3917 6.3917 90.00 90.00 90.00
With the nearest neighbours (Å) after each atom.
Fractional positions:
Mg 0.0000 0.5000 0.0000  2 K 3.20
Mg 0.0000 0.0000 0.5000  2 K 3.20
Hg 0.5000 0.5000 0.5000  8 Mg 4.30, 4 Be 4.52
Be 0.5000 0.0000 0.0000  2 K 2.88
K 0.0000 0.0000 0.0000  2 Be 2.88, 4 Mg 3.20

Values from the calculation:
For the calculated volume, the calculation gives 47.04 Å³/atom. The energy relative to the elements is 645 kJ/mol of formula units. As for the space-group type: P4/mmm (123).

***

8.
The following is a DFT calculation (GGA-PBEsol) of crystalline KMnBeHg2 at its relaxed geometry.

Lattice parameters (Å, degrees): 5.9604 5.9604 6.0557 90.00 90.00 90.00
With the nearest neighbours (Å) after each atom.
Fractional positions:
Be 0.5000 0.5000 0.5000  4 Mn 4.21, 8 Hg 4.25
Hg 0.5000 0.0000 0.0000  2 K 2.98
Hg 0.0000 0.5000 0.0000  2 K 2.98
Mn 0.0000 0.0000 0.5000  2 K 3.03
K 0.0000 0.0000 0.0000  4 Hg 2.98, 2 Mn 3.03

Values from the calculation:
For the calculated volume, the calculation gives 43.03 Å³/atom. The energy relative to the elements is 808 kJ/mol of formula units. As for the space-group type: P4/mmm (123).

***

9.
The following is a DFT calculation (GGA-PBEsol) of crystalline LaBeHg4 at its relaxed geometry.

Lattice parameters (Å, degrees): 5.8425 5.8425 5.8425 60.00 60.00 60.00
With the nearest neighbours (Å) after each atom.
Fractional positions:
Hg 0.8761 0.3746 0.3746  6 Hg 2.91-2.93
Hg 0.3746 0.3746 0.3746  6 Hg 2.91-2.93
Hg 0.3746 0.3746 0.8761  6 Hg 2.91-2.93
Hg 0.3746 0.8761 0.3746  6 Hg 2.91-2.93
Be 0.0000 0.0000 0.0000  12 Hg 3.42, 4 La 3.58
La 0.7500 0.7500 0.7500  12 Hg 3.43, 4 Be 3.58

Values from the calculation:
For the calculated volume, the calculation gives 23.50 Å³/atom. The energy relative to the elements is 76 kJ/mol of formula units. As for the space-group type: F-43m (216).

***

10.
The following is a DFT calculation (GGA-PBEsol) of crystalline LiBe4Hg at its relaxed geometry.

Lattice parameters (Å, degrees): 4.4628 4.4628 4.4628 60.00 60.00 60.00
With the nearest neighbours (Å) after each atom.
Fractional positions:
Be 0.8750 0.3750 0.3750  6 Be 2.23
Be 0.3750 0.3750 0.3750  6 Be 2.23
Be 0.3750 0.8750 0.3750  6 Be 2.23
Be 0.3750 0.3750 0.8750  6 Be 2.23
Hg 0.7500 0.7500 0.7500  12 Be 2.62, 4 Li 2.73
Li 0.0000 0.0000 0.0000  12 Be 2.62, 4 Hg 2.73

Values from the calculation:
For the calculated volume, the calculation gives 10.48 Å³/atom. The energy relative to the elements is -3 kJ/mol of formula units. As for the space-group type: F-43m (216).

***

11.
The following is a DFT calculation (GGA-PBEsol) of crystalline LiBe2Hg at its relaxed geometry.

Lattice parameters (Å, degrees): 3.4318 3.7875 3.7778 90.00 90.00 90.00
With the nearest neighbours (Å) after each atom.
Fractional positions:
Li 0.0000 0.5000 0.5000  8 Be 2.55-2.67, 4 Hg 2.56
Hg 0.5000 0.0000 0.5000  8 Be 2.55-2.67, 4 Li 2.56
Be 0.5000 0.5000 0.0000  4 Li 2.55, 4 Be 2.56, 4 Hg 2.67
Be 0.0000 0.0000 0.0000  4 Hg 2.55, 4 Be 2.56, 4 Li 2.67

Values from the calculation:
For the calculated volume, the calculation gives 12.28 Å³/atom. The energy relative to the elements is 62 kJ/mol of formula units. As for the space-group type: Pmmm (47).

***

12.
The following is a DFT calculation (GGA-PBEsol) of crystalline Li2BeHg at its relaxed geometry.

Lattice parameters (Å, degrees): 2.8203 4.3535 4.8530 90.00 90.26 90.00
With the nearest neighbours (Å) after each atom.
Fractional positions:
Li 0.8778 0.0000 0.9724  4 Li 2.64-2.82, 4 Be 2.75-2.86, 4 Hg 2.79
Li 0.8708 0.5000 0.2814  4 Li 2.64-2.82, 4 Hg 2.72-2.90, 4 Be 2.77-2.78
Be 0.3777 0.0000 0.4849  2 Hg 2.56, 7 Li 2.75-2.85, 2 Be 2.82
Hg 0.3738 0.5000 0.7613  2 Be 2.56, 6 Li 2.72-2.79, 2 Hg 2.82

Values from the calculation:
For the calculated volume, the calculation gives 14.90 Å³/atom. The energy relative to the elements is 3 kJ/mol of formula units. As for the space-group type: Pm (6). The polymorph energy (0 for the lowest one) comes out at 0.000 eV per atom.

***

13.
The following is a DFT calculation (GGA-PBEsol) of crystalline LiBe2Hg at its relaxed geometry.

Lattice parameters (Å, degrees): 4.0863 4.0863 4.0863 90.25 119.86 119.86
With the nearest neighbours (Å) after each atom.
Fractional positions:
Li 0.5000 0.2500 0.7500  4 Be 2.50, 4 Hg 2.50
Be 0.0000 0.0000 0.0000  4 Li 2.50, 4 Be 2.50
Be 0.5000 0.7500 0.2500  4 Hg 2.50, 4 Be 2.50
Hg 0.0000 0.5000 0.5000  4 Li 2.50, 4 Be 2.50

Values from the calculation:
For the calculated volume, the calculation gives 12.09 Å³/atom. The energy relative to the elements is 45 kJ/mol of formula units. As for the space-group type: I-4m2 (119).

***

14.
The following is a DFT calculation (GGA-PBEsol) of crystalline LiBe2Hg at its relaxed geometry.

Lattice parameters (Å, degrees): 4.1090 4.1090 8.9018 103.34 103.34 90.00
With the nearest neighbours (Å) after each atom.
Fractional positions:
Be 0.1250 0.8750 0.2500  2 Be 2.05
Be 0.6250 0.8750 0.7500  2 Be 2.05
Be 0.1250 0.3750 0.2500  2 Be 2.05
Be 0.1250 0.8750 0.7500  2 Be 2.05
Hg 0.0000 0.0000 0.0000  4 Be 2.34
Hg 0.2500 0.7500 0.5000  4 Be 2.34
Li 0.5000 0.5000 0.0000  4 Hg 2.91, 8 Be 3.11
Li 0.7500 0.2500 0.5000  4 Hg 2.91, 8 Be 3.11

Values from the calculation:
For the calculated volume, the calculation gives 17.76 Å³/atom. The energy relative to the elements is 162 kJ/mol of formula units. As for the space-group type: I4_1/amd (141).

***

15.
The following is a DFT calculation (GGA-PBEsol) of crystalline Li2BeHg at its relaxed geometry.

Lattice parameters (Å, degrees): 2.9631 3.3911 5.9295 90.00 90.00 90.00
With the nearest neighbours (Å) after each atom.
Fractional positions:
Hg 0.5000 0.5000 0.7296  4 Be 2.61, 5 Li 2.73-2.75
Li 0.0000 0.0000 0.9957  4 Hg 2.75, 6 Li 2.77-2.96, 2 Be 2.90-3.03
Li 0.5000 0.5000 0.2685  4 Be 2.66, 1 Hg 2.73, 6 Li 2.77-2.96
Be 0.0000 0.0000 0.5063  4 Hg 2.61, 5 Li 2.66-2.90

Values from the calculation:
For the calculated volume, the calculation gives 14.90 Å³/atom. The energy relative to the elements is 12 kJ/mol of formula units. As for the space-group type: Pmm2 (25). The polymorph energy (0 for the lowest one) comes out at 0.022 eV per atom.

***

16.
The following is a DFT calculation (GGA-PBEsol) of crystalline LiBe2HgO at its relaxed geometry.

Lattice parameters (Å, degrees): 4.1021 4.1021 4.4270 90.00 90.00 90.00
With the nearest neighbours (Å) after each atom.
Fractional positions:
O 0.5000 0.5000 0.5000  4 Hg 2.90, 8 Be 3.02
Be 0.5000 0.0000 0.0000  2 Li 2.05
Be 0.0000 0.5000 0.0000  2 Li 2.05
Hg 0.0000 0.0000 0.5000  2 Li 2.21
Li 0.0000 0.0000 0.0000  4 Be 2.05, 2 Hg 2.21

Values from the calculation:
For the calculated volume, the calculation gives 14.90 Å³/atom. The value obtained for the formation energy (no corrections) is 1.257 eV per atom. As for the space-group type: P4/mmm (123).

***

17.
The following is a DFT calculation (GGA-PBEsol) of crystalline Mg2BeHg2 at its relaxed geometry.

Lattice parameters (Å, degrees): 3.9563 3.9563 7.7331 104.82 104.82 90.00
With the nearest neighbours (Å) after each atom.
Fractional positions:
Mg 0.5967 0.5967 0.1933  1 Mg 2.79, 4 Hg 2.97
Mg 0.4033 0.4033 0.8067  1 Mg 2.79, 4 Hg 2.97
Hg 0.2500 0.7500 0.5000  4 Hg 2.80, 4 Mg 2.97
Hg 0.7500 0.2500 0.5000  4 Hg 2.80, 4 Mg 2.97
Be 0.0000 0.0000 0.0000  8 Mg 3.13

Values from the calculation:
For the calculated volume, the calculation gives 22.57 Å³/atom. The energy relative to the elements is 198 kJ/mol of formula units. As for the space-group type: I4/mmm (139).

***

18.
The following is a DFT calculation (GGA-PBEsol) of crystalline Mg2BeHg at its relaxed geometry.

Lattice parameters (Å, degrees): 3.1110 3.1110 7.2479 90.00 90.00 90.00
With the nearest neighbours (Å) after each atom.
Fractional positions:
Mg 0.0000 0.0000 0.7836  4 Be 2.70, 4 Hg 3.01
Mg 0.0000 0.0000 0.2164  4 Be 2.70, 4 Hg 3.01
Hg 0.5000 0.5000 0.5000  8 Mg 3.01, 4 Hg 3.11
Be 0.5000 0.5000 0.0000  8 Mg 2.70

Values from the calculation:
For the calculated volume, the calculation gives 17.54 Å³/atom. The energy relative to the elements is 28 kJ/mol of formula units. As for the space-group type: P4/mmm (123).

***

19.
The following is a DFT calculation (GGA-PBEsol) of crystalline MgBeHg2Ru at its relaxed geometry.

Lattice parameters (Å, degrees): 4.6369 4.8997 4.8997 90.00 90.00 90.00
With the nearest neighbours (Å) after each atom.
Fractional positions:
Hg 0.0000 0.5000 0.0000  2 Mg 2.45
Hg 0.0000 0.0000 0.5000  2 Mg 2.45
Mg 0.0000 0.0000 0.0000  2 Ru 2.32, 4 Hg 2.45
Ru 0.5000 0.0000 0.0000  2 Mg 2.32
Be 0.5000 0.5000 0.5000  8 Hg 3.37, 4 Ru 3.46

Values from the calculation:
For the calculated volume, the calculation gives 22.26 Å³/atom. The energy relative to the elements is 714 kJ/mol of formula units. As for the space-group type: P4/mmm (123).

***

20.
The following is a DFT calculation (GGA-PBEsol) of crystalline Be2HgMo at its relaxed geometry.

Lattice parameters (Å, degrees): 2.8723 4.7102 4.9348 118.51 106.92 90.00
With the nearest neighbours (Å) after each atom.
Fractional positions:
Be 0.2503 0.2503 0.5006  2 Hg 2.50, 2 Mo 2.50, 4 Be 2.76
Be 0.7497 0.7497 0.4994  2 Hg 2.50, 2 Mo 2.50, 4 Be 2.76
Hg 0.0000 0.5000 0.0000  4 Be 2.50, 4 Mo 2.76
Mo 0.5000 0.0000 0.0000  4 Be 2.50, 4 Hg 2.76

Values from the calculation:
For the calculated volume, the calculation gives 13.84 Å³/atom. The energy relative to the elements is 221 kJ/mol of formula units. As for the space-group type: Immm (71).